DFT (PBE-GGA) results for crystalline TiGaAs2Se at its relaxed geometry.

Properties
E_tot in eV per formula unit: -23.99
Spin magnetization in μB/f.u.: 0.00
Offset from the most stable computed form in eV/f.u.: 0.000
Formation energy (no corrections) in eV/f.u.: -0.3

Unit cell a=4.934 b=4.934 c=4.976 alpha=90.00 beta=90.00 gamma=90.00
Space group P4/mmm (No. 123)
Unique sites:
Ti: 0.000 0.000 0.000
Ga: 0.500 0.500 0.500
As: 0.000 0.500 0.000
Se: 0.000 0.000 0.500